No. 1
{"formula": "K2LaF4", "functional": "PBE", "state": "optimized geometry", "dft_energy_ev_per_atom": -5.107, "n_ef_per_ev_atom": 0.355, "total_magnetization_mub_per_fu": 0.170, "cell": [[-4.522, 0.964, 1.275], [-0.997, -4.691, 0.015], [-0.756, -2.266, 8.052]], "species": ["K", "K", "F", "F", "F", "F", "La"], "fractional_positions": [[0.677, 0.677, 0.646], [0.323, 0.323, 0.354], [0.850, 0.850, 0.299], [0.150, 0.150, 0.701], [0.000, 0.500, 0.000], [0.500, 0.000, 0.000], [0.000, 0.000, 0.000]]}

No. 2
{"formula": "KLa2F", "functional": "PBE", "state": "optimized geometry", "n_ef_per_ev_atom": 1.144, "total_magnetization_mub_per_fu": 0.000, "e_above_lowest_polymorph_mev_per_atom": 0, "cell": [[-7.570, -2.674, 0.291], [0.753, -2.939, -7.439], [-1.911, -6.857, -1.822]], "species": ["K", "K", "F", "F", "La", "La", "La", "La"], "fractional_positions": [[0.000, 0.000, 0.000], [0.750, 0.250, 0.500], [0.500, 0.500, 0.000], [0.250, 0.750, 0.500], [0.482, 0.125, 0.250], [0.268, 0.625, 0.250], [0.375, 0.518, 0.750], [0.875, 0.732, 0.750]]}

No. 3
{"formula": "K4LaF7", "functional": "PBE", "state": "optimized geometry", "dft_energy_ev_per_atom": -4.995, "n_ef_per_ev_atom": 0.000, "total_magnetization_mub_per_fu": 0.271, "cell": [[4.345, 0.000, -1.419], [-1.068, 5.134, -3.270], [0.857, 2.685, 9.986]], "species": ["K", "K", "K", "K", "La", "F", "F", "F", "F", "F", "F", "F"], "fractional_positions": [[0.404, 0.440, 0.808], [0.596, 0.560, 0.192], [0.282, 0.798, 0.565], [0.718, 0.202, 0.435], [0.000, 0.000, 0.000], [0.107, 0.291, 0.214], [0.893, 0.709, 0.786], [0.938, 0.256, 0.877], [0.062, 0.744, 0.123], [0.722, 0.770, 0.445], [0.500, 0.000, 0.000], [0.278, 0.230, 0.555]]}

No. 4
{"formula": "K2La2F", "functional": "PBE", "state": "optimized geometry", "n_ef_per_ev_atom": 0.988, "total_magnetization_mub_per_fu": 0.000, "e_above_lowest_polymorph_mev_per_atom": 0, "cell": [[7.098, 0.000, 0.000], [0.000, 7.098, 0.000], [0.000, 0.000, 7.875]], "species": ["K", "K", "K", "K", "F", "F", "La", "La", "La", "La"], "fractional_positions": [[0.186, 0.686, 0.500], [0.686, 0.814, 0.500], [0.814, 0.314, 0.500], [0.314, 0.186, 0.500], [0.000, 0.000, 0.000], [0.500, 0.500, 0.000], [0.334, 0.834, 0.000], [0.834, 0.666, 0.000], [0.666, 0.166, 0.000], [0.166, 0.334, 0.000]]}

No. 5
{"formula": "K2La2F", "functional": "PBE", "state": "optimized geometry", "n_ef_per_ev_atom": 1.146, "total_magnetization_mub_per_fu": 2.958, "e_above_lowest_polymorph_mev_per_atom": 767, "cell": [[-1.143, 3.018, 3.196], [-1.891, -3.318, 2.458], [7.476, -1.764, 7.568]], "species": ["K", "K", "F", "La", "La"], "fractional_positions": [[0.750, 0.250, 0.500], [0.250, 0.750, 0.500], [0.000, 0.000, 0.000], [0.432, 0.432, 0.136], [0.568, 0.568, 0.864]]}

No. 6
{"formula": "KLa2F7", "functional": "PBE", "state": "optimized geometry", "dft_energy_ev_per_atom": -6.236, "n_ef_per_ev_atom": 0.000, "total_magnetization_mub_per_fu": 0.101, "cell": [[-4.065, -1.433, 0.253], [1.399, -4.054, -0.500], [2.137, 1.970, 8.657]], "species": ["K", "La", "La", "F", "F", "F", "F", "F", "F", "F"], "fractional_positions": [[0.000, 0.000, 0.000], [0.651, 0.651, 0.302], [0.349, 0.349, 0.698], [0.100, 0.600, 0.200], [0.400, 0.900, 0.800], [0.600, 0.100, 0.200], [0.500, 0.500, 0.000], [0.750, 0.250, 0.500], [0.900, 0.400, 0.800], [0.250, 0.750, 0.500]]}

No. 7
{"formula": "K2LaF5", "functional": "PBE", "state": "optimized geometry", "dft_energy_ev_per_atom": -5.552, "n_ef_per_ev_atom": 0.000, "total_magnetization_mub_per_fu": 0.088, "cell": [[-0.222, 5.172, 4.396], [-5.697, -3.539, 3.876], [7.492, -5.089, 6.366]], "species": ["K", "K", "K", "K", "K", "K", "K", "K", "La", "La", "La", "La", "F", "F", "F", "F", "F", "F", "F", "F", "F", "F", "F", "F", "F", "F", "F", "F", "F", "F", "F", "F"], "fractional_positions": [[0.475, 0.503, 0.828], [0.525, 0.497, 0.172], [0.975, 0.497, 0.672], [0.525, 0.003, 0.172], [0.025, 0.503, 0.328], [0.475, 0.997, 0.828], [0.025, 0.997, 0.328], [0.975, 0.003, 0.672], [0.435, 0.250, 0.503], [0.565, 0.750, 0.497], [0.935, 0.750, 0.997], [0.065, 0.250, 0.003], [0.090, 0.250, 0.510], [0.910, 0.750, 0.490], [0.590, 0.750, 0.990], [0.410, 0.250, 0.010], [0.353, 0.969, 0.585], [0.647, 0.031, 0.415], [0.853, 0.031, 0.915], [0.647, 0.469, 0.415], [0.147, 0.969, 0.085], [0.353, 0.531, 0.585], [0.147, 0.531, 0.085], [0.853, 0.469, 0.915], [0.173, 0.250, 0.799], [0.827, 0.750, 0.201], [0.673, 0.750, 0.701], [0.327, 0.250, 0.299], [0.643, 0.250, 0.671], [0.357, 0.750, 0.329], [0.143, 0.750, 0.829], [0.857, 0.250, 0.171]]}

No. 8
{"formula": "K2LiLaF6", "functional": "PBE", "state": "optimized geometry", "dft_energy_ev_per_atom": -5.335, "n_ef_per_ev_atom": 0.000, "total_magnetization_mub_per_fu": 0.000, "cell": [[6.162, 0.000, -0.065], [0.000, 6.223, 0.000], [-0.041, 0.000, 8.735]], "species": ["K", "K", "K", "K", "Li", "Li", "La", "La", "F", "F", "F", "F", "F", "F", "F", "F", "F", "F", "F", "F"], "fractional_positions": [[0.011, 0.963, 0.248], [0.511, 0.537, 0.748], [0.989, 0.037, 0.752], [0.489, 0.463, 0.252], [0.500, 0.000, 0.500], [0.000, 0.500, 0.000], [0.500, 0.000, 0.000], [0.000, 0.500, 0.500], [0.278, 0.704, 0.041], [0.778, 0.796, 0.541], [0.722, 0.296, 0.959], [0.222, 0.204, 0.459], [0.298, 0.721, 0.459], [0.798, 0.779, 0.959], [0.702, 0.279, 0.541], [0.202, 0.221, 0.041], [0.923, 0.522, 0.240], [0.423, 0.978, 0.740], [0.077, 0.478, 0.760], [0.577, 0.022, 0.260]]}